# 1
TlNiTe3Au | PBE | relaxed

a = 17.127 Å, b = 3.933 Å, c = 9.823 Å
α = 90.00°, β = 102.31°, γ = 90.00°
Space group C2/m (No. 12)
Asymmetric unit:
Tl  0.151  0.000  0.039 x4
Ni  0.169  0.000  0.574 x4
Te  0.000  0.000  0.500 x2
Te  0.000  0.500  0.000 x2
Te  0.160  0.500  0.740 x4
Te  0.170  0.500  0.402 x4
Au  0.004  0.500  0.285 x4

E (eV/cell): -85.5

# 2
TlNiTe3Au | PBE | relaxed

a = 14.945 Å, b = 3.959 Å, c = 11.229 Å
α = 90.00°, β = 90.00°, γ = 90.00°
Space group Pnma (No. 62)
Asymmetric unit:
Tl  0.157  0.250  0.016 x4
Ni  0.045  0.750  0.634 x4
Te  0.012  0.750  0.229 x4
Te  0.096  0.250  0.497 x4
Te  0.186  0.750  0.767 x4
Au  0.190  0.750  0.238 x4

E (eV/cell): -86.0